[1]
Compound: Hf3CrAg
Source: the Alexandria database
Functional: PBE
Structure: relaxed

Values from the calculation:
Crystal system   cubic
ΔH_f (0 K)   0.635 eV per atom
Electronic total energy   -39.16 eV per cell
Size of the total moment   0.000 μB/atom
Relative energy among the computed polymorphs   0 meV/atom

Unit cell a=4.8053 b=4.8053 c=4.8053 alpha=90.00 beta=90.00 gamma=90.00
Closest atoms and distances in Å follow each position.
Sites, in units of the cell vectors:
Hf 0.0000 0.0000 0.5000  2 Cr 2.40
Hf 0.0000 0.5000 0.0000  2 Cr 2.40
Hf 0.5000 0.0000 0.0000  2 Cr 2.40
Cr 0.0000 0.0000 0.0000  6 Hf 2.40
Ag 0.5000 0.5000 0.5000  12 Hf 3.40

=====

[2]
Compound: HfCr3Ag
Source: the Alexandria database
Functional: PBE
Structure: relaxed

Values from the calculation:
Crystal system   cubic
ΔH_f (0 K)   1.591 eV per atom
Electronic total energy   -33.72 eV per cell
Size of the total moment   2.191 μB/atom
Relative energy among the computed polymorphs   0 meV/atom

Unit cell a=4.8019 b=4.8019 c=4.8019 alpha=90.00 beta=90.00 gamma=90.00
Closest atoms and distances in Å follow each position.
Sites, in units of the cell vectors:
Hf 0.0000 0.0000 0.0000  12 Cr 3.40
Cr 0.0000 0.5000 0.5000  2 Ag 2.40
Cr 0.5000 0.0000 0.5000  2 Ag 2.40
Cr 0.5000 0.5000 0.0000  2 Ag 2.40
Ag 0.5000 0.5000 0.5000  6 Cr 2.40

=====

[3]
Compound: HfCrAg3
Source: the Alexandria database
Functional: PBE
Structure: relaxed

Values from the calculation:
Crystal system   cubic
ΔH_f (0 K)   1.432 eV per atom
Electronic total energy   -20.97 eV per cell
Size of the total moment   0.884 μB/atom
Relative energy among the computed polymorphs   294 meV/atom

Unit cell a=5.1923 b=5.1923 c=5.1923 alpha=90.00 beta=90.00 gamma=90.00
Closest atoms and distances in Å follow each position.
Sites, in units of the cell vectors:
Hf 0.0000 0.0000 0.0000  6 Ag 2.60
Cr 0.5000 0.5000 0.5000  12 Ag 3.67
Ag 0.0000 0.0000 0.5000  2 Hf 2.60
Ag 0.0000 0.5000 0.0000  2 Hf 2.60
Ag 0.5000 0.0000 0.0000  2 Hf 2.60

=====

[4]
Compound: HfCrAg2Hg
Source: the Alexandria database
Functional: PBE
Structure: relaxed

Values from the calculation:
Crystal system   tetragonal
ΔH_f (0 K)   1.258 eV per atom
Electronic total energy   -19.29 eV per cell
Size of the total moment   0.926 μB/atom
Relative energy among the computed polymorphs   0 meV/atom

Unit cell a=5.1358 b=5.1358 c=5.2745 alpha=90.00 beta=90.00 gamma=90.00
Closest atoms and distances in Å follow each position.
Sites, in units of the cell vectors:
Hf 0.0000 0.0000 0.0000  2 Hg 2.64
Cr 0.5000 0.5000 0.0000  4 Hf 3.63, 8 Ag 3.68
Ag 0.0000 0.5000 0.5000  2 Hg 2.57
Ag 0.5000 0.0000 0.5000  2 Hg 2.57
Hg 0.0000 0.0000 0.5000  4 Ag 2.57, 2 Hf 2.64

=====

[5]
Compound: HfCrAg2Hg
Source: the Alexandria database
Functional: PBE
Structure: relaxed

Values from the calculation:
Crystal system   tetragonal
ΔH_f (0 K)   1.291 eV per atom
Electronic total energy   -19.13 eV per cell
Size of the total moment   0.950 μB/atom
Relative energy among the computed polymorphs   32 meV/atom

Unit cell a=5.2434 b=5.2434 c=5.4156 alpha=90.00 beta=90.00 gamma=90.00
Closest atoms and distances in Å follow each position.
Sites, in units of the cell vectors:
Hf 0.0000 0.0000 0.0000  4 Ag 2.62, 2 Hg 2.71
Cr 0.5000 0.5000 0.5000  4 Hg 3.71, 8 Ag 3.77
Ag 0.0000 0.5000 0.0000  2 Hf 2.62
Ag 0.5000 0.0000 0.0000  2 Hf 2.62
Hg 0.0000 0.0000 0.5000  2 Hf 2.71

=====

[6]
Compound: HfCrAgS2
Source: the Alexandria database
Functional: PBE
Structure: relaxed

Values from the calculation:
Crystal system   tetragonal
Electronic total energy   -25.06 eV per cell
Size of the total moment   0.973 μB/atom
Formation energy without anion corrections   1.1241 eV per atom

Unit cell a=4.7691 b=4.7691 c=5.1805 alpha=90.00 beta=90.00 gamma=90.00
Closest atoms and distances in Å follow each position.
Sites, in units of the cell vectors:
Hf 0.0000 0.0000 0.0000  2 Ag 2.59
Cr 0.5000 0.5000 0.0000  4 Hf 3.37, 8 S 3.52
Ag 0.0000 0.0000 0.5000  4 S 2.38, 2 Hf 2.59
S 0.0000 0.5000 0.5000  2 Ag 2.38
S 0.5000 0.0000 0.5000  2 Ag 2.38

=====

[7]
Compound: SrHfCrAg2
Source: the Alexandria database
Functional: PBE
Structure: relaxed

Values from the calculation:
Crystal system   tetragonal
ΔH_f (0 K)   0.695 eV per atom
Electronic total energy   -23.49 eV per cell
Size of the total moment   0.524 μB/atom

Unit cell a=5.3555 b=5.3555 c=4.7967 alpha=90.00 beta=90.00 gamma=90.00
Closest atoms and distances in Å follow each position.
Sites, in units of the cell vectors:
Sr 0.0000 0.0000 0.0000  8 Ag 3.59, 4 Cr 3.79
Hf 0.5000 0.5000 0.5000  2 Cr 2.40, 4 Ag 2.68
Cr 0.5000 0.5000 0.0000  2 Hf 2.40
Ag 0.0000 0.5000 0.5000  2 Hf 2.68
Ag 0.5000 0.0000 0.5000  2 Hf 2.68

=====

[8]
Compound: Hf2TaCrAg
Source: the Alexandria database
Functional: PBE
Structure: relaxed

Values from the calculation:
Crystal system   tetragonal
ΔH_f (0 K)   1.600 eV per atom
Electronic total energy   -36.23 eV per cell
Size of the total moment   0.866 μB/atom

Unit cell a=5.0366 b=5.0366 c=4.9505 alpha=90.00 beta=90.00 gamma=90.00
Closest atoms and distances in Å follow each position.
Sites, in units of the cell vectors:
Hf 0.0000 0.5000 0.0000  2 Ag 2.52
Hf 0.5000 0.0000 0.0000  2 Ag 2.52
Ta 0.0000 0.0000 0.5000  2 Ag 2.48
Cr 0.5000 0.5000 0.5000  8 Hf 3.53, 4 Ta 3.56
Ag 0.0000 0.0000 0.0000  2 Ta 2.48, 4 Hf 2.52

=====

[9]
Compound: HfCr2AgTe
Source: the Alexandria database
Functional: PBE
Structure: relaxed

Values from the calculation:
Crystal system   tetragonal
Electronic total energy   -29.47 eV per cell
Size of the total moment   1.539 μB/atom
Formation energy without anion corrections   1.1444 eV per atom

Unit cell a=4.9754 b=4.9754 c=5.3123 alpha=90.00 beta=90.00 gamma=90.00
Closest atoms and distances in Å follow each position.
Sites, in units of the cell vectors:
Hf 0.0000 0.0000 0.0000  2 Te 2.66
Cr 0.0000 0.5000 0.5000  2 Te 2.49
Cr 0.5000 0.0000 0.5000  2 Te 2.49
Ag 0.5000 0.5000 0.0000  4 Hf 3.52, 8 Cr 3.64
Te 0.0000 0.0000 0.5000  4 Cr 2.49, 2 Hf 2.66

=====

[10]
Compound: HfTiCr2Ag
Source: the Alexandria database
Functional: PBE
Structure: relaxed

Values from the calculation:
Crystal system   tetragonal
ΔH_f (0 K)   1.562 eV per atom
Electronic total energy   -32.14 eV per cell
Size of the total moment   0.755 μB/atom

Unit cell a=4.6862 b=4.6862 c=5.0526 alpha=90.00 beta=90.00 gamma=90.00
Closest atoms and distances in Å follow each position.
Sites, in units of the cell vectors:
Hf 0.0000 0.0000 0.0000  4 Cr 2.34, 2 Ag 2.53
Ti 0.5000 0.5000 0.5000  4 Ag 3.31, 8 Cr 3.45
Cr 0.0000 0.5000 0.0000  2 Hf 2.34
Cr 0.5000 0.0000 0.0000  2 Hf 2.34
Ag 0.0000 0.0000 0.5000  2 Hf 2.53

=====

[11]
Compound: Hf2ZrCrAg
Source: the Alexandria database
Functional: PBE
Structure: relaxed

Values from the calculation:
Crystal system   tetragonal
ΔH_f (0 K)   1.143 eV per atom
Electronic total energy   -35.22 eV per cell
Size of the total moment   0.192 μB/atom

Unit cell a=5.1016 b=5.1016 c=4.8032 alpha=90.00 beta=90.00 gamma=90.00
Closest atoms and distances in Å follow each position.
Sites, in units of the cell vectors:
Hf 0.0000 0.5000 0.0000  2 Ag 2.55
Hf 0.5000 0.0000 0.0000  2 Ag 2.55
Zr 0.0000 0.0000 0.5000  8 Hf 3.50, 4 Cr 3.61
Cr 0.5000 0.5000 0.5000  2 Ag 2.40
Ag 0.5000 0.5000 0.0000  2 Cr 2.40, 4 Hf 2.55

=====

[12]
Compound: CrAgHg2
Source: the Alexandria database
Functional: PBE
Structure: relaxed

Values from the calculation:
Crystal system   cubic
ΔH_f (0 K)   0.350 eV per atom
Electronic total energy   -11.68 eV per cell
Size of the total moment   1.051 μB/atom

Unit cell a=4.8180 b=4.8180 c=4.8180 alpha=60.00 beta=60.00 gamma=60.00
Closest atoms and distances in Å follow each position.
Sites, in units of the cell vectors:
Cr 0.0000 0.0000 0.0000  4 Hg 2.95, 4 Ag 2.95
Ag 0.2500 0.2500 0.2500  4 Cr 2.95, 4 Hg 2.95
Hg 0.5000 0.5000 0.5000  4 Hg 2.95, 4 Ag 2.95
Hg 0.7500 0.7500 0.7500  4 Hg 2.95, 4 Cr 2.95